VASP calculation (PBE) on a geometry-optimized RbZr2P2 structure.

It has space group P4/mbm (No. 127), with a = 7.939 Å, b = 7.939 Å, c = 3.402 Å, α = 90.00°, β = 90.00° and γ = 90.00°. The distinct sites, in fractional coordinates, are Rb at (0.000, 0.000, 0.000), Zr at (0.136, 0.364, 0.500) and P at (0.137, 0.637, 0.000).

The formation energy from the elements is -403 meV/atom. Its energy relative to the lowest polymorph listed for this composition is 381 meV/atom. As for the crystal system: tetragonal. The value obtained for the volume is 214 Å³ per cell. Its size of the total moment is 0.0 μB/cell.